--- i ---
The following is a DFT calculation (PBE) of a relaxed structure of BeTlOs3.

Computed properties:
SG = No. 221
DOS(E_F) = 0.9201 states/eV/atom
Magnetization = 4.90 μB per formula unit

abc: 4.9442 4.9442 4.9442
angles: 90.00 90.00 90.00
With the nearest neighbours (Å) after each atom.
Positions (direct):
Be  0.5000  0.5000  0.5000  12 Os 3.50
Tl  0.0000  0.0000  0.0000  6 Os 2.47
Os  0.0000  0.5000  0.0000  2 Tl 2.47
Os  0.0000  0.0000  0.5000  2 Tl 2.47
Os  0.5000  0.0000  0.0000  2 Tl 2.47

---

--- ii ---
The following is a DFT calculation (PBE) of a relaxed structure of BeTlOs3.

Computed properties:
SG = No. 221
DOS(E_F) = 0.9494 states/eV/atom
Magnetization = 0.83 μB per formula unit

abc: 4.2350 4.2350 4.2350
angles: 90.00 90.00 90.00
With the nearest neighbours (Å) after each atom.
Positions (direct):
Be  0.0000  0.0000  0.0000  6 Os 2.12
Tl  0.5000  0.5000  0.5000  12 Os 2.99
Os  0.0000  0.5000  0.0000  2 Be 2.12
Os  0.0000  0.0000  0.5000  2 Be 2.12
Os  0.5000  0.0000  0.0000  2 Be 2.12

---

What should be chosen as the least stable of them? Choose i.

---

--- i ---
The following is a DFT calculation (PBE) of a relaxed structure of UBeOs2.

Computed properties:
SG = No. 123
DOS(E_F) = 0.4457 states/eV/atom
Magnetization = 0.00 μB per formula unit

abc: 3.6304 4.1290 4.1290
angles: 90.00 90.00 90.00
With the nearest neighbours (Å) after each atom.
Positions (direct):
Os  0.0000  0.0000  0.5000  4 Be 2.75, 4 U 2.75, 4 Os 2.92
Os  0.0000  0.5000  0.0000  4 Be 2.75, 4 U 2.75, 4 Os 2.92
U  0.5000  0.0000  0.0000  8 Os 2.75, 4 Be 2.92
Be  0.5000  0.5000  0.5000  8 Os 2.75, 4 U 2.92

---

--- ii ---
The following is a DFT calculation (PBE) of a relaxed structure of UBeOs2.

Computed properties:
SG = No. 166
DOS(E_F) = 0.9615 states/eV/atom
Magnetization = 0.00 μB per formula unit

abc: 2.8706 2.8706 8.3944
angles: 80.15 80.15 60.00
With the nearest neighbours (Å) after each atom.
Positions (direct):
Os  0.7343  0.7343  0.7971  3 Be 2.35
Os  0.2657  0.2657  0.2029  3 Be 2.35
U  0.5000  0.5000  0.5000  6 U 2.87, 6 Os 2.95
Be  0.0000  0.0000  0.0000  6 Os 2.35

---

What should be chosen as the least stable of them? Choose ii.

---

--- i ---
The following is a DFT calculation (PBE) of a relaxed structure of BeVOs3.

Computed properties:
SG = No. 221
DOS(E_F) = 1.0775 states/eV/atom
Magnetization = 0.59 μB per formula unit

abc: 4.4535 4.4535 4.4535
angles: 90.00 90.00 90.00
With the nearest neighbours (Å) after each atom.
Positions (direct):
Be  0.5000  0.5000  0.5000  12 Os 3.15
Os  0.0000  0.5000  0.0000  2 V 2.23
Os  0.0000  0.0000  0.5000  2 V 2.23
Os  0.5000  0.0000  0.0000  2 V 2.23
V  0.0000  0.0000  0.0000  6 Os 2.23

---

--- ii ---
The following is a DFT calculation (PBE) of a relaxed structure of BeVOs3.

Computed properties:
SG = No. 221
DOS(E_F) = 0.5550 states/eV/atom
Magnetization = 0.00 μB per formula unit

abc: 4.0721 4.0721 4.0721
angles: 90.00 90.00 90.00
With the nearest neighbours (Å) after each atom.
Positions (direct):
Be  0.0000  0.0000  0.0000  6 Os 2.04
Os  0.0000  0.5000  0.0000  2 Be 2.04
Os  0.0000  0.0000  0.5000  2 Be 2.04
Os  0.5000  0.0000  0.0000  2 Be 2.04
V  0.5000  0.5000  0.5000  12 Os 2.88

---

What should be chosen as the least stable of them? Choose i.

---

--- i ---
The following is a DFT calculation (PBE) of a relaxed structure of BeV3Os.

Computed properties:
SG = No. 221
DOS(E_F) = 1.3270 states/eV/atom
Magnetization = 0.01 μB per formula unit

abc: 4.5552 4.5552 4.5552
angles: 90.00 90.00 90.00
With the nearest neighbours (Å) after each atom.
Positions (direct):
Be  0.5000  0.5000  0.5000  12 V 3.22
Os  0.0000  0.0000  0.0000  6 V 2.28
V  0.0000  0.5000  0.0000  2 Os 2.28
V  0.0000  0.0000  0.5000  2 Os 2.28
V  0.5000  0.0000  0.0000  2 Os 2.28

---

--- ii ---
The following is a DFT calculation (PBE) of a relaxed structure of BeV3Os.

Computed properties:
SG = No. 221
DOS(E_F) = 1.7819 states/eV/atom
Magnetization = 0.50 μB per formula unit

abc: 4.0509 4.0509 4.0509
angles: 90.00 90.00 90.00
With the nearest neighbours (Å) after each atom.
Positions (direct):
Be  0.0000  0.0000  0.0000  6 V 2.03
Os  0.5000  0.5000  0.5000  12 V 2.86
V  0.0000  0.5000  0.0000  2 Be 2.03
V  0.0000  0.0000  0.5000  2 Be 2.03
V  0.5000  0.0000  0.0000  2 Be 2.03

---

What should be chosen as the least stable of them? Choose i.

---

--- i ---
The following is a DFT calculation (PBE) of a relaxed structure of Be2VOs2.

Computed properties:
SG = No. 127
DOS(E_F) = 0.5255 states/eV/atom
Magnetization = 0.00 μB per formula unit

abc: 6.2008 6.2008 2.9365
angles: 90.00 90.00 90.00
With the nearest neighbours (Å) after each atom.
Positions (direct):
Be  0.3784  0.8784  0.0000  1 Be 2.13, 6 Os 2.33-2.36
Be  0.8784  0.6216  0.0000  1 Be 2.13, 6 Os 2.33-2.36
Be  0.6216  0.1216  0.0000  1 Be 2.13, 6 Os 2.33-2.36
Be  0.1216  0.3784  0.0000  1 Be 2.13, 6 Os 2.33-2.36
Os  0.1727  0.6727  0.5000  6 Be 2.33-2.36
Os  0.6727  0.8273  0.5000  6 Be 2.33-2.36
Os  0.8273  0.3273  0.5000  6 Be 2.33-2.36
Os  0.3273  0.1727  0.5000  6 Be 2.33-2.36
V  0.0000  0.0000  0.0000  4 Be 2.46, 8 Os 2.72
V  0.5000  0.5000  0.0000  4 Be 2.46, 8 Os 2.72

---

--- ii ---
The following is a DFT calculation (PBE) of a relaxed structure of Be2VOs2.

Computed properties:
SG = No. 139
DOS(E_F) = 0.9989 states/eV/atom
Magnetization = 1.47 μB per formula unit

abc: 4.1663 4.1663 4.8291
angles: 64.44 64.44 90.00
With the nearest neighbours (Å) after each atom.
Positions (direct):
Be  0.7500  0.2500  0.5000  4 Os 2.20
Be  0.2500  0.7500  0.5000  4 Os 2.20
Os  0.3421  0.3421  0.3158  4 Be 2.20, 1 Os 2.42
Os  0.6579  0.6579  0.6842  4 Be 2.20, 1 Os 2.42
V  0.0000  0.0000  0.0000  2 Os 2.62, 8 Be 2.83

---

What should be chosen as the least stable of them? Choose ii.

---

--- i ---
The following is a DFT calculation (PBE) of a relaxed structure of BeOsW.

Computed properties:
SG = No. 107
DOS(E_F) = 0.5677 states/eV/atom
Magnetization = 0.00 μB per formula unit

abc: 4.8706 4.8706 4.8706
angles: 144.44 144.44 51.16
With the nearest neighbours (Å) after each atom.
Positions (direct):
Be  0.9874  0.9874  0.0000  4 Os 2.43, 4 W 2.61
Os  0.3496  0.3496  0.0000  4 Be 2.43, 4 W 2.67
W  0.6630  0.6630  0.0000  5 Be 2.61-2.85, 5 Os 2.67-2.75

---

--- ii ---
The following is a DFT calculation (PBE) of a relaxed structure of BeOsW.

Computed properties:
SG = No. 156
DOS(E_F) = 0.4436 states/eV/atom
Magnetization = 0.00 μB per formula unit

abc: 4.0716 4.0716 2.7939
angles: 90.00 90.00 120.00
With the nearest neighbours (Å) after each atom.
Positions (direct):
Be  0.0000  0.0000  0.1475  3 Os 2.35
Os  0.6667  0.3333  0.1934  3 Be 2.35
W  0.3333  0.6667  0.6591  6 Os 2.69-2.78, 6 Be 2.72-2.75, 2 W 2.79

---

--- iii ---
The following is a DFT calculation (PBE) of a relaxed structure of BeOsW.

Computed properties:
SG = No. 42
DOS(E_F) = 1.2153 states/eV/atom
Magnetization = 0.01 μB per formula unit

abc: 6.3929 6.1810 2.6925
angles: 82.08 73.26 24.66
With the nearest neighbours (Å) after each atom.
Positions (direct):
Be  0.0039  0.0039  0.9961  2 Os 2.37, 2 W 2.47
Os  0.6555  0.6555  0.3445  2 Be 2.37
W  0.3406  0.3406  0.6594  2 Be 2.47, 2 Os 2.69, 4 W 2.69

---

What should be chosen as the least stable of them? Choose iii.